(1)
NaLi2SbS4: relaxed, GGA-PBE.

Cell and atoms, written as POSCAR:
```
NaLi2SbS4
1.0
-2.8925 2.8925 5.9029
2.8925 -2.8925 5.9029
2.8925 2.8925 -5.9029
Na Li Sb S
1 2 1 4
Direct
0.0000 0.0000 0.0000
0.2500 0.7500 0.5000
0.5000 0.5000 0.0000
0.7500 0.2500 0.5000
0.1203 0.5834 0.9732
0.4166 0.3898 0.5369
0.6102 0.1471 0.0268
0.8529 0.8797 0.4631
```

* SG: I-4
* ΔE_f (raw): -6.33 eV per formula unit
* electronic total energy: -32.11 eV/cell
* size of the total moment: 0.000 μB per formula unit



(2)
CaF: relaxed, GGA-PBE.

Cell and atoms, written as POSCAR:
```
CaF
1.0
0.0000 2.7834 2.7834
2.7834 0.0000 2.7834
2.7834 2.7834 0.0000
Ca F
1 1
Direct
0.0000 0.0000 0.0000
0.2500 0.2500 0.2500
```

* SG: F-43m
* polymorph energy (0 for the lowest one): 280 meV per atom
* ΔE_f (raw): -5.25 eV per formula unit
* electronic total energy: -9.13 eV/cell
* size of the total moment: 0.683 μB per formula unit